DFT (PBE-GGA) results for a relaxed Ba2MgGaSe5 crystal.

Geometry as extended XYZ:
```
18
Lattice="2.095 -9.578 0.000 2.095 9.578 0.000 0.000 0.000 13.046" Properties=species:S:1:pos:R:3 pbc="T T T"
Ba 2.095 7.218 6.523
Ba 2.095 7.144 1.626
Ba 2.095 -7.144 8.149
Ba 2.095 -7.218 0.000
Mg 2.095 5.510 10.882
Mg 2.095 -5.510 4.359
Ga 2.095 1.286 3.216
Ga 2.095 -1.286 9.739
Se 2.095 8.568 11.129
Se 2.095 3.903 6.096
Se 2.095 3.648 2.486
Se 2.095 2.886 10.629
Se 2.095 0.065 1.156
Se 2.095 -0.065 7.679
Se 2.095 -2.886 4.106
Se 2.095 -3.648 9.010
Se 2.095 -3.903 12.619
Se 2.095 -8.568 4.606
```

- Symmetry: Cmc2_1 (36)
- Total magnetic moment: 0.0 μB per cell
- Fermi-level density of states: 6.9 states/eV/f.u.
- E: -4.16 eV/atom